Record 1
# La6PmSm3, optimized geometry, DFT PBE
data_La6PmSm3
_chemical_formula_sum 'La18 Pm3 Sm9'
_space_group_name_H-M_alt 'R 3 m'
_space_group_IT_number 160
_space_group_name_Hall 'R 3 -2"'
_cell_length_a 14.1323
_cell_length_b 14.1323
_cell_length_c 6.4846
_cell_angle_alpha 90.00
_cell_angle_beta 90.00
_cell_angle_gamma 120.00
loop_
_atom_site_label
_atom_site_type_symbol
_atom_site_fract_x
_atom_site_fract_y
_atom_site_fract_z
La1 La 0.1577 0.0789 0.0000
La2 La 0.1699 0.3398 0.1352
Pm1 Pm 0.0000 0.0000 0.4613
Sm1 Sm 0.0826 0.5413 0.3056
# Energy relative to the lowest polymorph listed for this composition, kcal/mol of atoms: 1.972
# Formation energy, meV/atom: 273.7

Record 2
# Ca2TiO4, optimized geometry, DFT PBE
data_Ca2TiO4
_chemical_formula_sum 'Ca4 Ti2 O8'
_space_group_name_H-M_alt 'I 4/m m m'
_space_group_IT_number 139
_space_group_name_Hall '-I 4 2'
_cell_length_a 3.858
_cell_length_b 3.858
_cell_length_c 11.970
_cell_angle_alpha 90.00
_cell_angle_beta 90.00
_cell_angle_gamma 90.00
loop_
_atom_site_label
_atom_site_type_symbol
_atom_site_fract_x
_atom_site_fract_y
_atom_site_fract_z
Ca1 Ca 0.000 0.000 0.146
Ti1 Ti 0.000 0.000 0.500
O1 O 0.000 0.000 0.334
O2 O 0.000 0.500 0.000
# E_form (uncorrected), meV/atom: -3051

Record 3
# Er6ThIn5, optimized geometry, DFT PBE
data_Er6ThIn5
_chemical_formula_sum 'Er12 Th2 In10'
_space_group_name_H-M_alt 'I m m m'
_space_group_IT_number 71
_space_group_name_Hall '-I 2 2'
_cell_length_a 4.999
_cell_length_b 8.657
_cell_length_c 15.032
_cell_angle_alpha 90.00
_cell_angle_beta 90.00
_cell_angle_gamma 90.00
loop_
_atom_site_label
_atom_site_type_symbol
_atom_site_fract_x
_atom_site_fract_y
_atom_site_fract_z
Er1 Er 0.000 0.227 0.000
Er2 Er 0.000 0.263 0.331
Th1 Th 0.000 0.000 0.500
In1 In 0.000 0.000 0.178
In2 In 0.000 0.500 0.154
In3 In 0.000 0.500 0.500
# Formation energy, meV/atom: -346.8

Record 4
# KTl3V, optimized geometry, DFT PBE
data_KTl3V
_chemical_formula_sum 'K1 Tl3 V1'
_space_group_name_H-M_alt 'P m -3 m'
_space_group_IT_number 221
_space_group_name_Hall '-P 4 2 3'
_cell_length_a 5.944
_cell_length_b 5.944
_cell_length_c 5.944
_cell_angle_alpha 90.00
_cell_angle_beta 90.00
_cell_angle_gamma 90.00
loop_
_atom_site_label
_atom_site_type_symbol
_atom_site_fract_x
_atom_site_fract_y
_atom_site_fract_z
K1 K 0.000 0.000 0.000
Tl1 Tl 0.000 0.000 0.500
V1 V 0.500 0.500 0.500
# Energy relative to the lowest polymorph listed for this composition, kcal/mol of atoms: 24.855
# Formation energy, meV/atom: 1296.6

Record 5
# LiTeBr, optimized geometry, DFT PBE
data_LiTeBr
_chemical_formula_sum 'Li1 Te1 Br1'
_space_group_name_H-M_alt 'P -6 m 2'
_space_group_IT_number 187
_space_group_name_Hall 'P -6 2'
_cell_length_a 4.9162
_cell_length_b 4.9162
_cell_length_c 3.5780
_cell_angle_alpha 90.00
_cell_angle_beta 90.00
_cell_angle_gamma 120.00
loop_
_atom_site_label
_atom_site_type_symbol
_atom_site_fract_x
_atom_site_fract_y
_atom_site_fract_z
Li1 Li 0.0000 0.0000 0.0000
Te1 Te 0.3333 0.6667 0.5000
Br1 Br 0.6667 0.3333 0.0000
# Energy relative to the lowest polymorph listed for this composition, kcal/mol of atoms: 15.216
# E_form (uncorrected), meV/atom: -288

Record 6
# Zn3GeH, optimized geometry, DFT PBE
data_Zn3GeH
_chemical_formula_sum 'Zn3 Ge1 H1'
_space_group_name_H-M_alt 'P m -3 m'
_space_group_IT_number 221
_space_group_name_Hall '-P 4 2 3'
_cell_length_a 4.117
_cell_length_b 4.117
_cell_length_c 4.117
_cell_angle_alpha 90.00
_cell_angle_beta 90.00
_cell_angle_gamma 90.00
loop_
_atom_site_label
_atom_site_type_symbol
_atom_site_fract_x
_atom_site_fract_y
_atom_site_fract_z
Zn1 Zn 0.000 0.000 0.500
Ge1 Ge 0.500 0.500 0.500
H1 H 0.000 0.000 0.000
# Total DFT energy (no corrections), eV for the cell shown: -10.11

Record 7
# RbBa2ThSe4, optimized geometry, DFT PBE
data_RbBa2ThSe4
_chemical_formula_sum 'Rb1 Ba2 Th1 Se4'
_space_group_name_H-M_alt 'P 1 2/m 1'
_space_group_IT_number 10
_cell_length_a 7.881
_cell_length_b 4.535
_cell_length_c 8.117
_cell_angle_alpha 90.00
_cell_angle_beta 109.17
_cell_angle_gamma 90.00
loop_
_space_group_symop_operation_xyz
'x,y,z'
'-x,-y,-z'
'-x,y,-z'
'x,-y,z'
loop_
_atom_site_label
_atom_site_type_symbol
_atom_site_fract_x
_atom_site_fract_y
_atom_site_fract_z
Rb1 Rb 0.000 0.000 0.000
Ba1 Ba 0.500 0.000 0.500
Ba2 Ba 0.500 0.500 0.000
Th1 Th 0.000 0.500 0.500
Se1 Se 0.226 0.000 0.721
Se2 Se 0.231 0.500 0.282
# E_form (uncorrected), meV/atom: -1709

Record 8
# Be3Nb2Si, optimized geometry, DFT PBE
data_Be3Nb2Si
_chemical_formula_sum 'Be24 Nb16 Si8'
_space_group_name_H-M_alt 'F m m m'
_space_group_IT_number 69
_space_group_name_Hall '-F 2 2'
_cell_length_a 6.622
_cell_length_b 7.164
_cell_length_c 12.421
_cell_angle_alpha 90.00
_cell_angle_beta 90.00
_cell_angle_gamma 90.00
loop_
_atom_site_label
_atom_site_type_symbol
_atom_site_fract_x
_atom_site_fract_y
_atom_site_fract_z
Be1 Be 0.000 0.000 0.162
Be2 Be 0.000 0.242 0.081
Nb1 Nb 0.249 0.000 0.000
Nb2 Nb 0.250 0.250 0.250
Si1 Si 0.000 0.000 0.334
# E_form (uncorrected), meV/atom: -431

Record 9
# GaAgBr2, optimized geometry, DFT PBE
data_GaAgBr2
_chemical_formula_sum 'Ga3 Ag3 Br6'
_space_group_name_H-M_alt 'R 3 m'
_space_group_IT_number 160
_space_group_name_Hall 'R 3 -2"'
_cell_length_a 4.2067
_cell_length_b 4.2067
_cell_length_c 21.8274
_cell_angle_alpha 90.00
_cell_angle_beta 90.00
_cell_angle_gamma 120.00
loop_
_atom_site_label
_atom_site_type_symbol
_atom_site_fract_x
_atom_site_fract_y
_atom_site_fract_z
Ga1 Ga 0.0000 0.0000 0.0000
Ag1 Ag 0.0000 0.0000 0.8328
Br1 Br 0.0000 0.0000 0.2394
Br2 Br 0.0000 0.0000 0.4247
# Energy relative to the lowest polymorph listed for this composition, kcal/mol of atoms: 0.000
# E_form (uncorrected), meV/atom: -399

Record 10
# RbTcSn2, optimized geometry, DFT PBE
data_RbTcSn2
_chemical_formula_sum 'Rb4 Tc4 Sn8'
_space_group_name_H-M_alt 'F m -3 m'
_space_group_IT_number 225
_space_group_name_Hall '-F 4 2 3'
_cell_length_a 7.321
_cell_length_b 7.321
_cell_length_c 7.321
_cell_angle_alpha 90.00
_cell_angle_beta 90.00
_cell_angle_gamma 90.00
loop_
_atom_site_label
_atom_site_type_symbol
_atom_site_fract_x
_atom_site_fract_y
_atom_site_fract_z
Rb1 Rb 0.000 0.000 0.000
Tc1 Tc 0.000 0.000 0.500
Sn1 Sn 0.250 0.250 0.250
# Energy relative to the lowest polymorph listed for this composition, kcal/mol of atoms: 10.166
# Formation energy, meV/atom: 743.8

Record 11
# SrLa4Zn, optimized geometry, DFT PBE
data_SrLa4Zn
_chemical_formula_sum 'Sr4 La16 Zn4'
_space_group_name_H-M_alt 'F -4 3 m'
_space_group_IT_number 216
_space_group_name_Hall 'F -4 2 3'
_cell_length_a 9.575
_cell_length_b 9.575
_cell_length_c 9.575
_cell_angle_alpha 90.00
_cell_angle_beta 90.00
_cell_angle_gamma 90.00
loop_
_atom_site_label
_atom_site_type_symbol
_atom_site_fract_x
_atom_site_fract_y
_atom_site_fract_z
Sr1 Sr 0.000 0.000 0.000
La1 La 0.121 0.121 0.379
Zn1 Zn 0.250 0.250 0.750
# Formation energy, meV/atom: 327.2

Record 12
# Ge2P2I, optimized geometry, DFT PBE
data_Ge2P2I
_chemical_formula_sum 'Ge4 P4 I2'
_space_group_name_H-M_alt 'I 4/m m m'
_space_group_IT_number 139
_space_group_name_Hall '-I 4 2'
_cell_length_a 3.927
_cell_length_b 3.927
_cell_length_c 15.067
_cell_angle_alpha 90.00
_cell_angle_beta 90.00
_cell_angle_gamma 90.00
loop_
_atom_site_label
_atom_site_type_symbol
_atom_site_fract_x
_atom_site_fract_y
_atom_site_fract_z
Ge1 Ge 0.000 0.000 0.131
P1 P 0.000 0.500 0.250
I1 I 0.000 0.000 0.500
# Energy relative to the lowest polymorph listed for this composition, kcal/mol of atoms: 0.140
# E_form (uncorrected), meV/atom: 215

no.,DOS at the Fermi energy (states/eV per cell)
1,44.01
2,0.00
3,22.14
4,11.20
5,2.31
6,1.77
7,2.54
8,3.94
9,0.00
10,13.96
11,36.99
12,2.77